(1)
# SiSnW PBE-GGA optimized geometry
data_SiSnW
_chemical_formula_sum 'Si2 Sn2 W2'
_symmetry_space_group_name_H-M 'P -1'
_symmetry_Int_Tables_number 2
_cell_length_a 3.1460
_cell_length_b 4.7138
_cell_length_c 8.4867
_cell_angle_alpha 95.72
_cell_angle_beta 94.69
_cell_angle_gamma 108.76
loop_
_symmetry_equiv_pos_as_xyz
'x,y,z'
'-x,-y,-z'
loop_
_atom_site_label
_atom_site_type_symbol
_atom_site_fract_x
_atom_site_fract_y
_atom_site_fract_z
Si1 Si 0.1222 0.1857 0.1366
Sn1 Sn 0.0467 0.2787 0.6137
W1 W 0.3869 0.7306 0.1006
# Energy relative to the elements, uncorrected: 86 meV/atom
# Energy above the lowest structure with this stoichiometry: 21 meV/atom

=====

(2)
# CaCrGa PBE-GGA optimized geometry
data_CaCrGa
_chemical_formula_sum 'Ca2 Cr2 Ga2'
_symmetry_space_group_name_H-M 'P -1'
_symmetry_Int_Tables_number 2
_cell_length_a 3.3705
_cell_length_b 5.8285
_cell_length_c 6.8316
_cell_angle_alpha 98.64
_cell_angle_beta 104.02
_cell_angle_gamma 103.58
loop_
_symmetry_equiv_pos_as_xyz
'x,y,z'
'-x,-y,-z'
loop_
_atom_site_label
_atom_site_type_symbol
_atom_site_fract_x
_atom_site_fract_y
_atom_site_fract_z
Ca1 Ca 0.2317 0.1262 0.2762
Cr1 Cr 0.3350 0.6249 0.0432
Ga1 Ga 0.0400 0.4031 0.6612
# DFT formation energy: 49 meV per atom

=====

(3)
# PrSm4Dy PBE-GGA optimized geometry
data_PrSm4Dy
_chemical_formula_sum 'Pr2 Sm8 Dy2'
_symmetry_space_group_name_H-M 'C m m m'
_symmetry_Int_Tables_number 65
_symmetry_space_group_name_Hall '-C 2 2'
_cell_length_a 5.1431
_cell_length_b 15.4110
_cell_length_c 5.1190
_cell_angle_alpha 90.00
_cell_angle_beta 90.00
_cell_angle_gamma 90.00
loop_
_atom_site_label
_atom_site_type_symbol
_atom_site_fract_x
_atom_site_fract_y
_atom_site_fract_z
Pr1 Pr 0.0000 0.0000 0.0000
Sm1 Sm 0.0000 0.1669 0.5000
Sm2 Sm 0.0000 0.3334 0.0000
Dy1 Dy 0.0000 0.5000 0.5000
# DFT formation energy: 16 meV per atom
# Energy above the lowest structure with this stoichiometry: 0 meV/atom

=====

(4)
# Tb7Tm2Sc2 PBE-GGA optimized geometry
data_Tb7Tm2Sc2
_chemical_formula_sum 'Tb14 Tm4 Sc4'
_symmetry_space_group_name_H-M 'I m m 2'
_symmetry_Int_Tables_number 44
_cell_length_a 3.5813
_cell_length_b 17.5928
_cell_length_c 10.9400
_cell_angle_alpha 90.00
_cell_angle_beta 90.00
_cell_angle_gamma 90.00
loop_
_symmetry_equiv_pos_as_xyz
'x,y,z'
'-x,-y,z'
'-x,y,z'
'x,-y,z'
'x+1/2,y+1/2,z+1/2'
'-x+1/2,-y+1/2,z+1/2'
'-x+1/2,y+1/2,z+1/2'
'x+1/2,-y+1/2,z+1/2'
loop_
_atom_site_label
_atom_site_type_symbol
_atom_site_fract_x
_atom_site_fract_y
_atom_site_fract_z
Tb1 Tb 0.0000 0.0000 0.0000
Tb2 Tb 0.0000 0.1521 0.4917
Tb3 Tb 0.0000 0.3131 0.7292
Tb4 Tb 0.0000 0.3617 0.2721
Tm1 Tm 0.0000 0.0000 0.6514
Tm2 Tm 0.0000 0.5000 0.8573
Sc1 Sc 0.0000 0.1945 0.9880
# DFT formation energy: 172 meV per atom
# Energy above the lowest structure with this stoichiometry: 0 meV/atom

=====

(5)
# Na3Ce PBE-GGA optimized geometry
data_Na3Ce
_chemical_formula_sum 'Na12 Ce4'
_symmetry_space_group_name_H-M 'F m -3 m'
_symmetry_Int_Tables_number 225
_symmetry_space_group_name_Hall '-F 4 2 3'
_cell_length_a 8.3130
_cell_length_b 8.3130
_cell_length_c 8.3130
_cell_angle_alpha 90.00
_cell_angle_beta 90.00
_cell_angle_gamma 90.00
loop_
_atom_site_label
_atom_site_type_symbol
_atom_site_fract_x
_atom_site_fract_y
_atom_site_fract_z
Na1 Na 0.0000 0.0000 0.0000
Na2 Na 0.2500 0.2500 0.2500
Ce1 Ce 0.0000 0.0000 0.5000
# DFT formation energy: 464 meV per atom
# Energy above the lowest structure with this stoichiometry: 4 meV/atom

=====

(6)
# KInTe2 PBE-GGA optimized geometry
data_KInTe2
_chemical_formula_sum 'K2 In2 Te4'
_symmetry_space_group_name_H-M 'C m m m'
_symmetry_Int_Tables_number 65
_symmetry_space_group_name_Hall '-C 2 2'
_cell_length_a 8.8431
_cell_length_b 8.8551
_cell_length_c 3.2921
_cell_angle_alpha 90.00
_cell_angle_beta 90.00
_cell_angle_gamma 90.00
loop_
_atom_site_label
_atom_site_type_symbol
_atom_site_fract_x
_atom_site_fract_y
_atom_site_fract_z
K1 K 0.0000 0.0000 0.0000
In1 In 0.0000 0.5000 0.0000
Te1 Te 0.2500 0.2500 0.5000
# Energy relative to the elements, uncorrected: -416 meV/atom

=====

(7)
# Y2TlMoN PBE-GGA optimized geometry
data_Y2TlMoN
_chemical_formula_sum 'Y2 Tl1 Mo1 N1'
_symmetry_space_group_name_H-M 'P 4/m m m'
_symmetry_Int_Tables_number 123
_symmetry_space_group_name_Hall '-P 4 2'
_cell_length_a 4.9703
_cell_length_b 4.9703
_cell_length_c 4.0550
_cell_angle_alpha 90.00
_cell_angle_beta 90.00
_cell_angle_gamma 90.00
loop_
_atom_site_label
_atom_site_type_symbol
_atom_site_fract_x
_atom_site_fract_y
_atom_site_fract_z
Y1 Y 0.0000 0.5000 0.0000
Tl1 Tl 0.0000 0.0000 0.5000
Mo1 Mo 0.5000 0.5000 0.5000
N1 N 0.5000 0.5000 0.0000
# Energy relative to the elements, uncorrected: -619 meV/atom

=====

(8)
# PaCoC2 PBE-GGA optimized geometry
data_PaCoC2
_chemical_formula_sum 'Pa2 Co2 C4'
_symmetry_space_group_name_H-M 'A m m 2'
_symmetry_Int_Tables_number 38
_cell_length_a 3.6375
_cell_length_b 4.5315
_cell_length_c 5.9360
_cell_angle_alpha 90.00
_cell_angle_beta 90.00
_cell_angle_gamma 90.00
loop_
_symmetry_equiv_pos_as_xyz
'x,y,z'
'-x,-y,z'
'-x,y,z'
'x,-y,z'
'x,y+1/2,z+1/2'
'-x,-y+1/2,z+1/2'
'-x,y+1/2,z+1/2'
'x,-y+1/2,z+1/2'
loop_
_atom_site_label
_atom_site_type_symbol
_atom_site_fract_x
_atom_site_fract_y
_atom_site_fract_z
Pa1 Pa 0.0000 0.0000 0.0000
Co1 Co 0.5000 0.0000 0.3991
C1 C 0.5000 0.1594 0.7041
# DFT formation energy: -237 meV per atom
# Energy above the lowest structure with this stoichiometry: 0 meV/atom